[1]
This record from Alexandria via LeMat-Bulk describes a geometry-optimized FeNiHg2 structure. The functional is GGA-PBE.

Geometry as POSCAR:
```
FeNiHg2
1.0
3.8702 -2.3246 -0.1379
0.6939 -3.4041 2.8865
0.0228 -4.2614 -1.4971
Fe Hg Ni
1 2 1
direct
0.0000 0.0000 0.0000
0.7500 0.7500 0.7500
0.2500 0.2500 0.2500
0.5000 0.5000 0.5000
```

Computed properties:
Total magnetization   2.89 Bohr magnetons per cell
Space group   Fm-3m (225)
Raw total energy   -3.317 eV/atom
Energy of formation from the pure elements   395 meV per atom

[2]
This record from Alexandria via LeMat-Bulk describes a geometry-optimized Pm4Tm8Sc structure. The functional is GGA-PBE.

Geometry as POSCAR:
```
Pm4Tm8Sc
1.0
-6.1539 -0.9328 -4.0726
-0.0940 -1.5056 7.2856
1.8256 9.1821 1.9193
Pm Tm Sc
4 8 1
direct
0.0000 0.5000 0.0000
0.5000 0.0000 0.0000
0.5000 0.5000 0.0000
0.0000 0.0000 0.0000
0.0739 0.8186 0.3292
0.0738 0.2552 0.3292
0.9262 0.7448 0.6708
0.5588 0.7794 0.3378
0.5107 0.2553 0.3289
0.9261 0.1814 0.6708
0.4412 0.2206 0.6622
0.4893 0.7447 0.6711
0.0000 0.5000 0.5000
```

Computed properties:
Total magnetization   0.00 Bohr magnetons per cell
Space group   C2/m (12)
Raw total energy   -4.514 eV/atom
Energy of formation from the pure elements   186 meV per atom

[3]
This record from Alexandria via LeMat-Bulk describes a geometry-optimized ZnAgBiO4 structure. The functional is GGA-PBE.

Geometry as POSCAR:
```
ZnAgBiO4
1.0
6.3584 0.0000 0.0000
-3.1792 5.7671 -0.4574
0.0000 -3.5197 5.7882
Ag O Bi Zn
2 8 2 2
direct
0.8446 0.6893 0.0946
0.1554 0.3107 0.9054
0.7268 0.4535 0.6853
0.2732 0.5465 0.7317
0.7209 0.9889 0.7444
0.2791 0.0111 0.2556
0.7268 0.4535 0.2683
0.2732 0.5465 0.3147
0.2680 0.9889 0.7444
0.7320 0.0111 0.2556
0.5000 0.0000 0.5000
0.5000 0.0000 0.0000
0.0000 0.5000 0.5000
0.5000 0.5000 0.5000
```

Computed properties:
Total magnetization   0.00 Bohr magnetons per cell
Space group   Imma (74)
Raw total energy   -4.774 eV/atom
E_form (uncorrected)   -76.87 kJ/mol of atoms

[4]
This record from Alexandria via LeMat-Bulk describes a geometry-optimized PmSnTeO6 structure. The functional is GGA-PBE.

Geometry as POSCAR:
```
PmSnTeO6
1.0
-2.5528 -2.3753 4.2095
0.8326 -2.7967 -4.6221
8.9154 -3.2502 3.5725
O Sn Pm Te
12 2 2 2
direct
0.9967 0.3571 0.6381
0.9967 0.6396 0.8619
0.0033 0.3604 0.1381
0.3604 0.0033 0.6381
0.3571 0.9967 0.1381
0.3604 0.3571 0.8619
0.0033 0.6429 0.3619
0.6396 0.9967 0.3619
0.6396 0.6429 0.1381
0.6429 0.0033 0.8619
0.6429 0.6396 0.6381
0.3571 0.3604 0.3619
0.6667 0.3333 0.2500
0.3333 0.6667 0.7500
0.0000 0.0000 0.5000
0.0000 0.0000 0.0000
0.6667 0.3333 0.7500
0.3333 0.6667 0.2500
```

Computed properties:
Total magnetization   0.73 Bohr magnetons per cell
Space group   P-31c (163)
Raw total energy   -6.475 eV/atom
E_form (uncorrected)   -178.31 kJ/mol of atoms

[5]
This record from Alexandria via LeMat-Bulk describes a geometry-optimized Na3TiSb2Se6 structure. The functional is GGA-PBE.

Geometry as POSCAR:
```
Na3TiSb2Se6
1.0
7.0771 -0.0061 -0.0049
-3.5421 6.1269 -0.0049
-1.1841 -2.0502 6.9305
Se Ti Sb Na
6 1 2 3
direct
0.7647 0.7647 0.2206
0.9265 0.6161 0.7800
0.2353 0.2353 0.7794
0.0735 0.3839 0.2200
0.6161 0.9265 0.7800
0.3839 0.0735 0.2200
0.0000 0.0000 0.0000
0.6653 0.3347 0.0000
0.3347 0.6653 0.0000
0.5000 0.5000 0.5000
0.1754 0.8246 0.5000
0.8246 0.1754 0.5000
```

Computed properties:
Total magnetization   1.00 Bohr magnetons per cell
Space group   C2/m (12)
Raw total energy   -4.215 eV/atom
E_form (uncorrected)   -76.98 kJ/mol of atoms

[6]
This record from Alexandria via LeMat-Bulk describes a geometry-optimized Li5CoIN2 structure. The functional is GGA-PBE.

Geometry as POSCAR:
```
Li5CoIN2
1.0
-3.9905 -1.3592 0.5055
1.4498 -3.7036 1.4860
-0.0619 2.7933 7.0224
Li N Co I
5 2 1 1
direct
0.0000 0.0000 0.5000
0.0000 0.5000 0.2091
0.0000 0.5000 0.7909
0.5000 0.0000 0.2091
0.5000 0.0000 0.7909
0.0000 0.0000 0.7736
0.0000 0.0000 0.2264
0.0000 0.0000 0.0000
0.5000 0.5000 0.5000
```

Computed properties:
Total magnetization   0.99 Bohr magnetons per cell
Space group   P4/mmm (123)
Raw total energy   -4.352 eV/atom
E_form (uncorrected)   -46.01 kJ/mol of atoms